KNa2In2 | meta-GGA SCAN | PBEsol geometry

* offset from the most stable computed form: 73.0 meV per atom
* E_tot: -16.776 eV/atom
* crystal system: tetragonal

a b c (Å): 7.993 7.993 7.993
angles (deg): 144.64 144.64 50.87
Atoms (fractional coordinates):
1 K 0.000 0.000 0.000
2 Na 0.250 0.750 0.500
3 Na 0.750 0.250 0.500
4 In 0.402 0.402 0.000
5 In 0.598 0.598 0.000